Entry 1:
# GGA-PBE NaLaTlCo2, relaxed
data_NaLaTlCo2
_chemical_formula_sum 'Na1 La1 Tl1 Co2'
_symmetry_space_group_name_H-M 'P 1'
_symmetry_Int_Tables_number 1
_cell_length_a 5.033
_cell_length_b 5.033
_cell_length_c 5.884
_cell_angle_alpha 90.00
_cell_angle_beta 90.00
_cell_angle_gamma 90.00
loop_
_symmetry_equiv_pos_as_xyz
'x,y,z'
loop_
_atom_site_label
_atom_site_type_symbol
_atom_site_fract_x
_atom_site_fract_y
_atom_site_fract_z
Na1 Na 0.000 0.000 0.000
La1 La 0.500 0.500 0.000
Tl1 Tl 0.500 0.500 0.500
Co1 Co 0.000 0.500 0.500
Co2 Co 0.500 0.000 0.500
# Space group ... P4/mmm, No. 123
# Fermi-level density of states ... 6.11 states/eV/f.u.
# Crystal system ... tetragonal
# Total moment ... 2.976 Bohr magnetons per cell
# Formation energy ... 105 kJ/mol of atoms

Entry 2:
# GGA-PBE NaLa2CoW, relaxed
data_NaLa2CoW
_chemical_formula_sum 'Na1 La2 Co1 W1'
_symmetry_space_group_name_H-M 'P 1'
_symmetry_Int_Tables_number 1
_cell_length_a 5.570
_cell_length_b 5.570
_cell_length_c 4.290
_cell_angle_alpha 90.00
_cell_angle_beta 90.00
_cell_angle_gamma 90.00
loop_
_symmetry_equiv_pos_as_xyz
'x,y,z'
loop_
_atom_site_label
_atom_site_type_symbol
_atom_site_fract_x
_atom_site_fract_y
_atom_site_fract_z
Na1 Na 0.000 0.000 0.000
La1 La 0.000 0.500 0.000
La2 La 0.500 0.000 0.000
Co1 Co 0.000 0.000 0.500
W1 W 0.500 0.500 0.500
# Space group ... P4/mmm, No. 123
# Fermi-level density of states ... 6.82 states/eV/f.u.
# Crystal system ... tetragonal
# Total moment ... 3.273 Bohr magnetons per cell
# Formation energy ... 160 kJ/mol of atoms

Entry 3:
# GGA-PBE NaLaY2Co, relaxed
data_NaLaY2Co
_chemical_formula_sum 'Na1 La1 Y2 Co1'
_symmetry_space_group_name_H-M 'P 1'
_symmetry_Int_Tables_number 1
_cell_length_a 5.410
_cell_length_b 5.410
_cell_length_c 5.366
_cell_angle_alpha 90.00
_cell_angle_beta 90.00
_cell_angle_gamma 90.00
loop_
_symmetry_equiv_pos_as_xyz
'x,y,z'
loop_
_atom_site_label
_atom_site_type_symbol
_atom_site_fract_x
_atom_site_fract_y
_atom_site_fract_z
Na1 Na 0.000 0.000 0.000
La1 La 0.500 0.500 0.000
Y1 Y 0.000 0.500 0.500
Y2 Y 0.500 0.000 0.500
Co1 Co 0.500 0.500 0.500
# Space group ... P4/mmm, No. 123
# Fermi-level density of states ... 3.80 states/eV/f.u.
# Crystal system ... tetragonal
# Total moment ... 0.000 Bohr magnetons per cell
# Formation energy ... 1 kJ/mol of atoms

Entry 4:
# GGA-PBE NaLa2YCo, relaxed
data_NaLa2YCo
_chemical_formula_sum 'Na1 La2 Y1 Co1'
_symmetry_space_group_name_H-M 'P 1'
_symmetry_Int_Tables_number 1
_cell_length_a 5.427
_cell_length_b 5.427
_cell_length_c 5.535
_cell_angle_alpha 90.00
_cell_angle_beta 90.00
_cell_angle_gamma 90.00
loop_
_symmetry_equiv_pos_as_xyz
'x,y,z'
loop_
_atom_site_label
_atom_site_type_symbol
_atom_site_fract_x
_atom_site_fract_y
_atom_site_fract_z
Na1 Na 0.000 0.000 0.000
La1 La 0.000 0.500 0.500
La2 La 0.500 0.000 0.500
Y1 Y 0.500 0.500 0.000
Co1 Co 0.500 0.500 0.500
# Space group ... P4/mmm, No. 123
# Fermi-level density of states ... 4.55 states/eV/f.u.
# Crystal system ... tetragonal
# Total moment ... 0.000 Bohr magnetons per cell
# Formation energy ... 0 kJ/mol of atoms

Entry 5:
# GGA-PBE LaNbCo10, relaxed
data_LaNbCo10
_chemical_formula_sum 'La1 Nb1 Co10'
_symmetry_space_group_name_H-M 'P 1'
_symmetry_Int_Tables_number 1
_cell_length_a 3.991
_cell_length_b 4.816
_cell_length_c 8.410
_cell_angle_alpha 90.00
_cell_angle_beta 90.00
_cell_angle_gamma 90.00
loop_
_symmetry_equiv_pos_as_xyz
'x,y,z'
loop_
_atom_site_label
_atom_site_type_symbol
_atom_site_fract_x
_atom_site_fract_y
_atom_site_fract_z
La1 La 0.000 0.000 0.000
Nb1 Nb 0.000 0.500 0.500
Co1 Co 0.000 0.000 0.348
Co2 Co 0.000 0.000 0.652
Co3 Co 0.000 0.500 0.187
Co4 Co 0.000 0.500 0.813
Co5 Co 0.500 0.000 0.500
Co6 Co 0.500 0.261 0.267
Co7 Co 0.500 0.261 0.733
Co8 Co 0.500 0.500 0.000
Co9 Co 0.500 0.739 0.267
Co10 Co 0.500 0.739 0.733
# Space group ... Pmmm, No. 47
# Fermi-level density of states ... 16.97 states/eV/f.u.
# Crystal system ... orthorhombic
# Total moment ... 12.695 Bohr magnetons per cell
# Formation energy ... 3 kJ/mol of atoms

Entry 6:
# GGA-PBE LaNbCo, relaxed
data_LaNbCo
_chemical_formula_sum 'La2 Nb2 Co2'
_symmetry_space_group_name_H-M 'P 1'
_symmetry_Int_Tables_number 1
_cell_length_a 11.186
_cell_length_b 3.331
_cell_length_c 3.331
_cell_angle_alpha 87.98
_cell_angle_beta 90.00
_cell_angle_gamma 90.00
loop_
_symmetry_equiv_pos_as_xyz
'x,y,z'
loop_
_atom_site_label
_atom_site_type_symbol
_atom_site_fract_x
_atom_site_fract_y
_atom_site_fract_z
La1 La 0.163 0.000 0.000
La2 La 0.837 0.000 0.000
Nb1 Nb 0.386 0.497 0.497
Nb2 Nb 0.614 0.497 0.497
Co1 Co 0.000 0.496 0.496
Co2 Co 0.500 0.045 0.045
# Space group ... Amm2, No. 38
# Fermi-level density of states ... 3.85 states/eV/f.u.
# Crystal system ... orthorhombic
# Total moment ... 0.962 Bohr magnetons per cell
# Formation energy ... 23 kJ/mol of atoms